[1]
KAg2F GGA-PBE optimized geometry; calculated density = 5.15 Mg/m³; ΔE_f (raw) = -0.2325 eV/atom; offset from the most stable computed form = 697 meV/atom
1.0
3.270 0.000 0.000
1.635 2.832 0.000
1.635 0.944 9.541
F Ag K
1 2 1
Cartesian
3.270 1.888 4.770 F
1.635 0.944 6.464 Ag
4.905 2.832 3.077 Ag
0.000 0.000 0.000 K


[2]
KAg2F4 GGA-PBE optimized geometry; calculated density = 4.43 Mg/m³; ΔE_f (raw) = -1.5970 eV/atom; offset from the most stable computed form = 0 meV/atom
1.0
2.011 0.630 -6.184
4.732 -4.371 1.093
-6.953 -2.407 0.946
K Ag F
2 4 8
Cartesian
-0.786 -1.824 -3.892 K
3.371 -1.871 -2.546 K
0.287 -2.162 -0.127 Ag
0.182 -5.236 -2.200 Ag
-0.823 -5.551 0.892 Ag
2.653 -4.348 0.420 Ag
-1.494 -4.572 -3.462 F
3.000 -4.059 -4.366 F
0.850 -3.137 -2.018 F
1.736 -0.558 -4.420 F
-1.397 -3.571 0.123 F
4.317 -4.006 -0.979 F
-2.874 -1.529 -2.031 F
-4.981 -3.160 0.569 F


[3]
K4Ag2F GGA-PBE optimized geometry; calculated density = 2.57 Mg/m³; ΔE_f (raw) = -0.7061 eV/atom
1.0
5.259 0.000 0.000
0.000 5.259 0.000
-2.629 -2.629 9.123
F K Ag
1 4 2
Cartesian
0.000 0.000 0.000 F
2.629 0.000 0.000 K
2.629 2.629 6.037 K
0.000 0.000 3.085 K
0.000 2.629 0.000 K
0.000 0.000 6.641 Ag
2.629 2.629 2.482 Ag


[4]
KAg3F3 GGA-PBE optimized geometry; calculated density = 5.69 Mg/m³; ΔE_f (raw) = -1.2412 eV/atom
1.0
-1.922 3.246 1.483
0.133 -3.406 7.626
6.302 4.876 -2.507
Ag K F
6 2 6
Cartesian
5.719 4.865 -0.469 Ag
-1.206 -0.149 7.072 Ag
-0.076 2.675 2.354 Ag
4.589 2.041 4.248 Ag
3.526 2.842 6.656 Ag
0.987 1.874 -0.054 Ag
2.804 4.550 1.983 K
1.709 0.166 4.619 K
2.210 2.932 4.754 F
0.800 1.004 7.147 F
5.279 3.284 2.421 F
2.303 1.784 1.849 F
-0.766 1.432 4.181 F
3.713 3.712 -0.545 F


[5]
K4Ag3F12 GGA-PBE optimized geometry; calculated density = 2.89 Mg/m³; ΔE_f (raw) = -1.8744 eV/atom
1.0
-3.367 6.099 4.112
-1.420 -6.964 3.862
7.981 1.200 -0.549
Ag F K
3 12 4
Cartesian
2.307 3.649 1.781 Ag
-2.393 -0.433 3.987 Ag
3.280 -2.882 1.656 Ag
-0.671 -1.182 3.292 F
5.307 1.777 1.731 F
-2.113 -1.443 5.693 F
-1.779 2.971 4.725 F
2.271 4.616 3.535 F
2.996 -0.900 1.701 F
0.922 -4.282 3.890 F
0.881 2.418 2.462 F
4.973 -2.637 2.699 F
0.197 1.234 5.723 F
2.312 -2.084 4.963 F
3.865 1.516 4.133 F
3.990 0.600 -0.275 K
-1.683 3.049 2.056 K
1.597 0.167 3.712 K
-0.710 -3.482 1.931 K


[6]
KAg2F3 GGA-PBE optimized geometry; calculated density = 4.98 Mg/m³; ΔE_f (raw) = -1.5377 eV/atom; offset from the most stable computed form = 0 meV/atom
1.0
6.241 0.000 0.000
0.000 5.479 -3.828
0.000 -0.791 6.637
F Ag K
6 4 2
Cartesian
1.357 4.186 -2.260 F
1.357 -0.018 4.757 F
4.478 0.502 5.069 F
4.478 4.706 -1.949 F
0.191 1.695 1.016 F
3.312 2.993 1.793 F
0.015 0.490 2.974 Ag
3.136 4.198 -0.165 Ag
3.136 1.835 3.780 Ag
0.015 2.853 -0.971 Ag
5.876 3.950 2.366 K
2.755 0.738 0.442 K


[7]
KAgF GGA-PBE optimized geometry; calculated density = 3.67 Mg/m³; ΔE_f (raw) = -1.4691 eV/atom
1.0
-2.537 -1.260 -3.426
-0.965 -4.299 -0.588
-8.342 -0.922 3.633
F K Ag
2 2 2
Cartesian
-9.614 -4.767 0.221 F
-2.231 -1.715 -0.601 F
-8.374 -2.923 1.509 K
-3.470 -3.559 -1.889 K
-7.513 -5.039 -1.235 Ag
-4.331 -1.443 0.854 Ag


[8]
KAg2F GGA-PBE optimized geometry; calculated density = 4.87 Mg/m³; ΔE_f (raw) = -0.1265 eV/atom; offset from the most stable computed form = 804 meV/atom
1.0
0.000 3.600 3.600
3.600 0.000 3.600
3.600 3.600 0.000
K F Ag
1 1 2
Cartesian
3.600 3.600 3.600 K
0.000 0.000 0.000 F
5.399 5.399 5.399 Ag
1.800 1.800 1.800 Ag


[9]
K3AgF4 GGA-PBE optimized geometry; calculated density = 3.33 Mg/m³; ΔE_f (raw) = -2.2836 eV/atom
1.0
-1.498 0.433 -5.121
-3.746 -3.744 0.779
-0.821 5.375 3.492
F K Ag
4 3 1
Cartesian
-4.467 0.338 -1.463 F
-1.598 1.726 0.613 F
-1.873 -1.872 0.390 F
-0.749 0.216 -2.560 F
-2.622 -1.655 -2.171 K
-2.470 2.076 -1.900 K
-3.594 -0.012 1.050 K
-1.498 0.433 -5.121 Ag


[10]
K6AgF12 GGA-PBE optimized geometry; calculated density = 2.49 Mg/m³; ΔE_f (raw) = -2.0067 eV/atom
1.0
7.260 -0.001 -1.115
-1.299 7.143 -1.115
-0.001 -0.001 7.345
F K Ag
12 6 1
Cartesian
2.681 4.117 -0.140 F
6.749 1.983 -0.981 F
3.279 3.023 5.255 F
6.817 0.145 4.230 F
-0.857 6.995 0.885 F
4.018 6.733 -1.704 F
5.557 3.766 1.564 F
-0.789 5.157 6.097 F
4.003 1.000 2.672 F
0.404 3.374 3.552 F
1.942 0.407 6.820 F
1.957 6.140 2.444 F
1.760 1.142 4.024 K
1.860 5.205 4.926 K
5.595 2.760 3.986 K
4.100 1.935 0.190 K
0.365 4.380 1.129 K
4.201 5.998 1.092 K
0.000 0.000 0.000 Ag


[11]
KAg5F7 GGA-PBE optimized geometry; calculated density = 5.56 Mg/m³; ΔE_f (raw) = -1.2997 eV/atom
1.0
-3.432 -0.173 1.091
2.822 -5.025 2.121
4.849 9.843 16.818
F Ag K
14 10 2
Cartesian
1.150 -0.769 9.452 F
2.081 1.052 6.715 F
1.294 -0.538 3.986 F
-1.197 -1.174 2.006 F
0.833 2.941 9.044 F
-0.203 -3.504 4.761 F
-0.503 2.368 4.753 F
2.158 3.588 13.316 F
4.445 8.143 15.277 F
2.946 5.174 16.046 F
3.091 5.411 10.584 F
3.407 1.698 10.986 F
4.743 2.270 15.280 F
5.437 5.809 18.027 F
1.003 -2.397 2.775 Ag
-0.833 0.631 3.437 Ag
2.754 1.154 8.846 Ag
4.091 2.022 13.190 Ag
3.237 7.032 17.258 Ag
1.485 3.486 11.184 Ag
0.001 -0.002 0.004 Ag
0.149 2.618 6.842 Ag
2.426 4.920 8.412 Ag
5.074 4.005 16.597 Ag
0.223 -0.991 6.500 K
4.017 5.628 13.531 K


[12]
K6AgF8 GGA-PBE optimized geometry; calculated density = 2.84 Mg/m³; ΔE_f (raw) = -2.3707 eV/atom
1.0
5.683 0.000 0.000
0.000 6.641 -3.834
0.000 0.000 7.669
F K Ag
8 6 1
Cartesian
3.944 0.000 2.024 F
3.944 1.753 6.656 F
1.739 1.753 1.012 F
5.683 2.214 3.834 F
3.944 4.888 2.822 F
1.739 6.641 1.810 F
0.000 4.427 0.000 F
1.739 4.888 -2.822 F
1.262 0.000 2.906 K
1.262 2.517 6.215 K
4.421 4.124 -2.381 K
1.262 4.124 2.381 K
4.421 2.517 1.453 K
4.421 6.641 0.928 K
2.842 0.000 0.000 Ag


[13]
K2LiAgF4 GGA-PBE optimized geometry; calculated density = 3.52 Mg/m³; ΔE_f (raw) = -2.2563 eV/atom
1.0
6.207 0.000 0.000
3.103 4.521 0.000
3.103 0.000 4.521
Ag Li F K
1 1 4 2
Cartesian
0.000 0.000 0.000 Ag
3.103 0.000 0.000 Li
1.861 1.482 0.000 F
4.346 0.000 1.482 F
4.964 3.039 0.000 F
7.450 0.000 3.039 F
6.207 2.261 2.261 K
3.103 2.261 2.261 K


[14]
K2LiAgF6 GGA-PBE optimized geometry; calculated density = 3.50 Mg/m³; ΔE_f (raw) = -2.1622 eV/atom
1.0
5.909 0.000 0.000
0.000 5.907 0.000
0.000 0.000 8.357
F Ag K Li
12 2 4 2
Cartesian
2.954 1.476 6.291 F
1.495 2.938 0.000 F
2.954 1.476 2.066 F
1.494 0.020 0.000 F
0.000 4.432 2.113 F
0.000 4.432 6.244 F
4.449 2.969 4.178 F
4.415 0.020 0.000 F
4.414 2.938 0.000 F
4.448 5.887 4.178 F
1.460 5.887 4.178 F
1.459 2.969 4.178 F
2.954 1.475 4.178 Ag
0.000 4.432 0.000 Ag
2.954 4.430 2.089 K
0.000 1.478 6.267 K
2.954 4.430 6.268 K
0.000 1.478 2.090 K
2.954 1.478 0.000 Li
0.000 4.429 4.178 Li


[15]
KLi2AgF8 GGA-PBE optimized geometry; calculated density = 3.00 Mg/m³; ΔE_f (raw) = -1.8041 eV/atom
1.0
-1.901 4.507 -0.998
-2.344 1.119 4.216
4.769 4.656 3.444
Li F K Ag
2 8 1 1
Cartesian
-1.160 4.198 2.623 Li
1.684 6.084 4.039 Li
-0.456 5.541 3.872 F
1.362 5.812 5.940 F
-0.838 4.470 0.722 F
3.650 6.064 4.177 F
-3.126 4.219 2.485 F
-0.927 2.563 3.568 F
1.451 7.720 3.094 F
0.980 4.741 2.790 F
2.385 2.328 1.722 K
0.000 0.000 0.000 Ag


[16]
K3LiAg2F9 GGA-PBE optimized geometry; calculated density = 3.71 Mg/m³; ΔE_f (raw) = -2.0673 eV/atom
1.0
-3.313 4.395 -2.346
0.161 -5.363 -2.646
-5.758 -2.175 4.057
F Li Ag K
9 1 2 3
Cartesian
-6.499 -1.391 -1.058 F
-1.576 -0.484 -2.496 F
-6.582 1.369 0.304 F
-4.877 -0.893 1.512 F
-2.411 -1.752 0.122 F
-4.033 -2.251 -2.447 F
-1.657 2.197 -1.173 F
-2.328 -4.512 -1.240 F
0.081 -2.682 -1.323 F
-2.879 -1.088 2.028 Li
-1.994 -2.487 -1.843 Ag
-6.915 -0.656 0.908 Ag
-4.706 -3.512 0.067 K
0.000 0.000 0.000 K
-4.204 0.368 -1.003 K


[17]
KLi2AgF6 GGA-PBE optimized geometry; calculated density = 2.81 Mg/m³; ΔE_f (raw) = -2.1174 eV/atom
1.0
6.527 -0.316 -0.328
1.727 6.979 -0.200
1.727 -0.459 6.967
F Li Ag K
12 4 2 2
Cartesian
4.680 5.040 2.189 F
6.383 2.465 1.556 F
7.715 4.489 6.523 F
2.265 1.715 -0.084 F
5.301 1.164 4.249 F
7.944 1.843 4.954 F
5.529 -0.306 1.547 F
4.452 6.510 4.891 F
3.120 1.621 2.685 F
3.598 3.739 4.883 F
2.037 4.361 1.485 F
6.861 4.583 3.754 F
4.880 4.877 4.021 Li
8.144 3.680 4.858 Li
1.837 2.525 1.580 Li
5.101 1.328 2.417 Li
6.622 4.628 1.591 Ag
3.359 1.576 4.848 Ag
6.622 0.016 6.035 K
3.359 6.188 0.404 K


[18]
KLiAg2F6 GGA-PBE optimized geometry; calculated density = 4.00 Mg/m³; ΔE_f (raw) = -1.7940 eV/atom
1.0
5.479 0.000 -0.279
0.000 6.137 0.000
-0.350 0.000 9.300
F Li Ag K
12 2 4 2
Cartesian
1.332 4.905 6.502 F
0.883 1.836 7.309 F
3.573 1.520 5.802 F
1.556 4.617 3.218 F
1.545 4.026 0.252 F
4.121 4.588 7.729 F
3.585 2.111 8.769 F
3.797 1.233 2.519 F
4.109 5.180 4.762 F
4.247 4.301 1.712 F
1.020 0.957 4.259 F
1.008 1.549 1.292 F
0.000 3.069 0.000 Li
2.565 0.000 4.510 Li
-0.075 5.921 2.836 Ag
2.489 3.284 7.346 Ag
2.640 2.853 1.674 Ag
5.204 0.216 6.184 Ag
2.739 0.000 -0.140 K
-0.175 3.069 4.650 K


[19]
KLi4Ag3F12 GGA-PBE optimized geometry; calculated density = 4.26 Mg/m³; ΔE_f (raw) = -2.0407 eV/atom
1.0
6.793 0.000 0.000
-2.264 6.404 0.000
-2.264 -3.202 5.546
Ag F Li K
3 12 4 1
Cartesian
2.264 3.202 0.000 Ag
2.264 -1.601 2.773 Ag
-2.264 1.601 2.773 Ag
2.298 -1.625 4.853 F
-0.034 4.827 0.693 F
2.830 1.037 3.834 F
1.698 3.602 2.815 F
0.566 -0.400 2.732 F
2.230 1.389 1.019 F
-1.698 -0.636 4.527 F
3.963 3.839 1.019 F
4.562 -0.188 1.712 F
-2.298 3.390 3.834 F
0.034 1.813 4.527 F
-0.566 2.166 1.712 F
-1.132 -1.601 2.773 Li
1.132 1.601 2.773 Li
-1.132 3.202 0.000 Li
3.396 0.000 0.000 Li
0.000 0.000 0.000 K